# Zr2TlCl | Alexandria via LeMat-Bulk | PBE | relaxed
data_Zr2TlCl
_cell_length_a 3.2509
_cell_length_b 3.2509
_cell_length_c 7.7179
_cell_angle_alpha 90.00
_cell_angle_beta 90.00
_cell_angle_gamma 90.00
_symmetry_space_group_name_H-M 'P 4/m m m'
_symmetry_Int_Tables_number 123
_symmetry_space_group_name_Hall '-P 4 2'
loop_
_atom_site_label
_atom_site_type_symbol
_atom_site_fract_x
_atom_site_fract_y
_atom_site_fract_z
Zr1 Zr 0.0000 0.0000 0.2267
Tl1 Tl 0.5000 0.5000 0.5000
Cl1 Cl 0.5000 0.5000 0.0000
# **Energy above the most stable polymorph in this dataset**: 1.12 eV per formula unit

***

# ZrTl2Cl5 | Alexandria via LeMat-Bulk | PBE | relaxed
data_ZrTl2Cl5
_cell_length_a 5.1185
_cell_length_b 16.7206
_cell_length_c 14.2008
_cell_angle_alpha 90.00
_cell_angle_beta 90.00
_cell_angle_gamma 90.00
_symmetry_space_group_name_H-M 'C m c m'
_symmetry_Int_Tables_number 63
_symmetry_space_group_name_Hall '-C 2c 2'
loop_
_atom_site_label
_atom_site_type_symbol
_atom_site_fract_x
_atom_site_fract_y
_atom_site_fract_z
Zr1 Zr 0.0000 0.1528 0.2500
Tl1 Tl 0.0000 0.1392 0.5642
Cl1 Cl 0.0000 0.0463 0.1230
Cl2 Cl 0.0000 0.2603 0.1186
Cl3 Cl 0.0000 0.3424 0.7500
# **Energy above the most stable polymorph in this dataset**: 0.00 eV per formula unit

***

# Zr2TlCl | Alexandria via LeMat-Bulk | PBE | relaxed
data_Zr2TlCl
_cell_length_a 4.1887
_cell_length_b 4.1887
_cell_length_c 10.2987
_cell_angle_alpha 90.00
_cell_angle_beta 90.00
_cell_angle_gamma 90.00
_symmetry_space_group_name_H-M 'I -4 m 2'
_symmetry_Int_Tables_number 119
_symmetry_space_group_name_Hall 'I -4 -2'
loop_
_atom_site_label
_atom_site_type_symbol
_atom_site_fract_x
_atom_site_fract_y
_atom_site_fract_z
Zr1 Zr 0.0000 0.0000 0.0000
Zr2 Zr 0.0000 0.5000 0.2500
Tl1 Tl 0.0000 0.0000 0.5000
Cl1 Cl 0.0000 0.5000 0.7500
# **Energy above the most stable polymorph in this dataset**: 2.41 eV per formula unit

***

VASP calculation (PBE) on a relaxed TmCl4 crystal.

```
data_TmCl4
_cell_length_a 5.2207
_cell_length_b 5.2207
_cell_length_c 5.2207
_cell_angle_alpha 90.00
_cell_angle_beta 90.00
_cell_angle_gamma 90.00
_symmetry_space_group_name_H-M 'P m -3 m'
_symmetry_Int_Tables_number 221
_symmetry_space_group_name_Hall '-P 4 2 3'
loop_
_atom_site_label
_atom_site_type_symbol
_atom_site_fract_x
_atom_site_fract_y
_atom_site_fract_z
Tm1 Tm 0.0000 0.0000 0.0000
Cl1 Cl 0.0000 0.0000 0.5000
Cl2 Cl 0.5000 0.5000 0.5000
```

***

no.,formation energy from raw total energies (meV/atom)
1,-266
2,-1325
3,56
4,-1485